1.
{
  "formula": "LiSO3F",
  "functional": "SCAN",
  "state": "single point on PBEsol structure",
  "mass_density_g_cm3": 2.18,
  "sg": "C2/m, No. 12",
  "raw_formation_energy_ev_per_atom": -1.99,
  "lattice": [[4.273, -3.774, 0.000], [4.273, 3.774, 0.000], [-0.226, 0.000, 5.001]],
  "species": ["Li", "Li", "S", "S", "O", "O", "O", "O", "O", "O", "F", "F"],
  "frac_coords": [[0.192, 0.808, 0.000], [0.808, 0.192, 0.000], [0.294, 0.294, 0.266], [0.706, 0.706, 0.734], [0.131, 0.131, 0.166], [0.214, 0.538, 0.217], [0.462, 0.786, 0.783], [0.538, 0.214, 0.217], [0.786, 0.462, 0.783], [0.869, 0.869, 0.834], [0.279, 0.279, 0.580], [0.721, 0.721, 0.420]]
}

***

2.
{
  "formula": "LiZnSO4F",
  "functional": "SCAN",
  "state": "single point on PBEsol structure",
  "mass_density_g_cm3": 3.59,
  "sg": "Pnma, No. 62",
  "raw_formation_energy_ev_per_atom": -2.03,
  "lattice": [[7.380, 0.000, 0.000], [0.000, 6.273, 0.000], [0.000, 0.000, 7.480]],
  "species": ["Li", "Li", "Li", "Li", "Zn", "Zn", "Zn", "Zn", "S", "S", "S", "S", "O", "O", "O", "O", "O", "O", "O", "O", "O", "O", "O", "O", "O", "O", "O", "O", "F", "F", "F", "F"],
  "frac_coords": [[0.000, 0.000, 0.000], [0.000, 0.500, 0.000], [0.500, 0.000, 0.500], [0.500, 0.500, 0.500], [0.136, 0.250, 0.294], [0.364, 0.750, 0.794], [0.636, 0.250, 0.206], [0.864, 0.750, 0.706], [0.134, 0.750, 0.356], [0.366, 0.250, 0.856], [0.634, 0.750, 0.144], [0.866, 0.250, 0.644], [0.033, 0.250, 0.537], [0.136, 0.561, 0.235], [0.136, 0.939, 0.235], [0.202, 0.250, 0.970], [0.298, 0.750, 0.470], [0.364, 0.061, 0.735], [0.364, 0.439, 0.735], [0.467, 0.750, 0.037], [0.533, 0.250, 0.963], [0.636, 0.561, 0.265], [0.636, 0.939, 0.265], [0.702, 0.250, 0.530], [0.798, 0.750, 0.030], [0.864, 0.061, 0.765], [0.864, 0.439, 0.765], [0.967, 0.750, 0.463], [0.102, 0.750, 0.862], [0.398, 0.250, 0.362], [0.602, 0.750, 0.638], [0.898, 0.250, 0.138]]
}

***

3.
{
  "formula": "LiSeO2F",
  "functional": "SCAN",
  "state": "single point on PBEsol structure",
  "mass_density_g_cm3": 5.04,
  "sg": "P4/mmm, No. 123",
  "raw_formation_energy_ev_per_atom": -0.39,
  "lattice": [[3.689, 0.000, 0.000], [0.000, 3.689, 0.000], [0.000, 0.000, 3.316]],
  "species": ["Li", "Se", "O", "O", "F"],
  "frac_coords": [[0.000, 0.000, 0.000], [0.500, 0.500, 0.500], [0.000, 0.500, 0.000], [0.500, 0.000, 0.000], [0.000, 0.000, 0.500]]
}

***

4.
{
  "formula": "LiSiO2F",
  "functional": "SCAN",
  "state": "single point on PBEsol structure",
  "mass_density_g_cm3": 3.38,
  "sg": "P4/mmm, No. 123",
  "raw_formation_energy_ev_per_atom": -0.66,
  "lattice": [[3.596, 0.000, 0.000], [0.000, 3.596, 0.000], [0.000, 0.000, 3.269]],
  "species": ["Li", "Si", "O", "O", "F"],
  "frac_coords": [[0.000, 0.000, 0.000], [0.500, 0.500, 0.500], [0.000, 0.500, 0.000], [0.500, 0.000, 0.000], [0.000, 0.000, 0.500]]
}

***

5.
{
  "formula": "LiSiO2F",
  "functional": "SCAN",
  "state": "single point on PBEsol structure",
  "mass_density_g_cm3": 3.29,
  "sg": "P4/mmm, No. 123",
  "raw_formation_energy_ev_per_atom": -2.61,
  "lattice": [[3.425, 0.000, 0.000], [0.000, 3.425, 0.000], [0.000, 0.000, 3.704]],
  "species": ["Li", "Si", "O", "O", "F"],
  "frac_coords": [[0.000, 0.000, 0.000], [0.500, 0.500, 0.500], [0.000, 0.500, 0.500], [0.500, 0.000, 0.500], [0.500, 0.500, 0.000]]
}

***

6.
{
  "formula": "Sr3LiTa4O12F2",
  "functional": "SCAN",
  "state": "single point on PBEsol structure",
  "mass_density_g_cm3": 7.00,
  "sg": "R-3m, No. 166",
  "raw_formation_energy_ev_per_atom": -3.26,
  "lattice": [[3.746, 2.163, 5.973], [-3.746, 2.163, 5.973], [0.000, -4.326, 5.973]],
  "species": ["Sr", "Sr", "Sr", "Li", "Ta", "Ta", "Ta", "Ta", "O", "O", "O", "O", "O", "O", "O", "O", "O", "O", "O", "O", "F", "F"],
  "frac_coords": [[0.000, 0.500, 0.500], [0.500, 0.000, 0.500], [0.500, 0.500, 0.000], [0.500, 0.500, 0.500], [0.000, 0.000, 0.000], [0.000, 0.000, 0.500], [0.000, 0.500, 0.000], [0.500, 0.000, 0.000], [0.062, 0.687, 0.687], [0.075, 0.075, 0.677], [0.075, 0.677, 0.075], [0.313, 0.313, 0.938], [0.313, 0.938, 0.313], [0.323, 0.925, 0.925], [0.677, 0.075, 0.075], [0.687, 0.062, 0.687], [0.687, 0.687, 0.062], [0.925, 0.323, 0.925], [0.925, 0.925, 0.323], [0.938, 0.313, 0.313], [0.393, 0.393, 0.393], [0.607, 0.607, 0.607]]
}